LiEr2SbO6 | GGA-PBE | relaxed

Cell: 5.5395 5.5396 5.9235 Å, 62.12 62.12 60.00°
Closest atoms and distances in Å follow each position.
Fractional positions:
O 0.6889 0.1236 0.7637  1 Li 2.03, 1 Sb 2.06, 1 Er 2.21
O 0.5825 0.2262 0.2304  1 Sb 1.99
O 0.1236 0.4237 0.7637  1 Li 2.03, 1 Sb 2.06, 1 Er 2.21
O 0.9610 0.5824 0.2304  1 Sb 1.99
O 0.4237 0.6889 0.7637  1 Li 2.03, 1 Sb 2.06, 1 Er 2.21
O 0.2262 0.9610 0.2304  1 Sb 1.99
Sb 0.3231 0.3231 0.0307  6 O 1.99-2.06
Li 0.7822 0.7822 0.6533  3 O 2.03
Er 0.0221 0.0221 0.9336  6 O 2.21-2.32
Er 0.5282 0.5282 0.4153  6 O 2.23-2.34

raw total energy	-7.14	eV per atom
E_form (uncorrected)	-2645	meV per atom